Computed, not measured: a relaxed structure of MnC2S at the PBE level of DFT.

```
MnC2S
1.0
4.465 0.000 0.000
0.000 4.465 0.000
2.232 2.232 3.964
C S Mn
4 2 2
Direct
0.157 0.625 0.250
0.875 0.843 0.750
0.375 0.407 0.750
0.593 0.125 0.250
0.500 0.500 0.000
0.250 0.750 0.500
0.000 0.000 0.000
0.750 0.250 0.500
```

Computed properties:
- Calculated density: 4667 kg/m³
- Electronic total energy: -6.9105 eV per atom
- Energy relative to the elements, uncorrected: 1026 meV/atom
- Density of states at the Fermi level: 3.91 states/eV per cell

Computed, not measured: a relaxed structure of KMnRh2 at the PBE level of DFT.

```
KMnRh2
1.0
-0.751 -2.419 3.715
1.393 1.524 3.995
-2.999 1.416 3.037
K Rh Mn
1 2 1
Direct
0.000 0.000 0.000
0.250 0.250 0.250
0.750 0.750 0.750
0.500 0.500 0.500
```

Computed properties:
- Calculated density: 7744 kg/m³
- Electronic total energy: -5.0619 eV per atom
- Density of states at the Fermi level: 7.27 states/eV per cell
- E above lowest polymorph: 3.65 eV/f.u.

Computed, not measured: a relaxed structure of LaBeB2C at the PBE level of DFT.

```
LaBeB2C
1.0
3.509 0.000 0.000
0.000 6.009 0.000
0.000 0.000 3.509
B La Be C
2 1 1 1
Direct
0.500 0.000 0.000
0.000 0.000 0.500
0.000 0.500 0.000
0.000 0.000 0.000
0.500 0.500 0.500
```

Computed properties:
- Calculated density: 4076 kg/m³
- Electronic total energy: -4.9788 eV per atom
- Density of states at the Fermi level: 3.91 states/eV per cell

Computed, not measured: a relaxed structure of PaBi4Pd15 at the PBE level of DFT.

```
PaBi4Pd15
1.0
-2.183 3.523 -0.141
-1.941 -1.062 3.508
14.734 9.573 11.050
Pd Bi Pa
15 4 1
Direct
0.500 0.500 0.600
0.500 0.000 0.500
0.000 0.500 0.700
0.500 0.000 0.300
0.500 0.000 0.905
0.000 0.500 0.500
0.500 0.000 0.095
0.000 0.500 0.300
0.500 0.500 0.803
0.500 0.500 0.400
0.500 0.000 0.700
0.000 0.500 0.095
0.500 0.500 0.197
0.500 0.500 0.000
0.000 0.500 0.905
0.000 0.000 0.599
0.000 0.000 0.401
0.000 0.000 0.796
0.000 0.000 0.204
0.000 0.000 0.000
```

Computed properties:
- Calculated density: 12390 kg/m³
- Electronic total energy: -5.4985 eV per atom
- Density of states at the Fermi level: 15.05 states/eV per cell

Computed, not measured: a relaxed structure of CaAu at the PBE level of DFT.

```
CaAu
1.0
5.828 0.019 0.032
4.520 3.678 0.032
2.653 0.948 7.461
Au Ca
3 3
Direct
0.644 0.644 0.302
0.730 0.730 0.632
0.894 0.894 0.009
0.014 0.014 0.612
0.365 0.365 0.314
0.187 0.187 0.963
```

Computed properties:
- Calculated density: 7428 kg/m³
- Electronic total energy: -3.3796 eV per atom
- Density of states at the Fermi level: 3.69 states/eV per cell

Computed, not measured: a relaxed structure of RbCa2YP at the PBE level of DFT.

```
RbCa2YP
1.0
-1.043 5.628 -0.254
-2.288 -0.189 5.213
5.142 1.056 2.295
P Ca Rb Y
1 2 1 1
Direct
0.000 0.500 0.000
0.500 0.000 0.000
0.000 0.000 0.500
0.000 0.000 0.000
0.500 0.500 0.500
```

Computed properties:
- Calculated density: 2536 kg/m³
- Electronic total energy: -2.3782 eV per atom
- Density of states at the Fermi level: 8.90 states/eV per cell